Record 1
Here is crystalline BiIrRuAu2 at its relaxed geometry from the Alexandria database. Energies are from PBE-GGA.

Cell lengths 5.2107, 5.2107, 5.0423 Å; angles 90.00, 90.00, 90.00 degrees
With the nearest neighbours (Å) after each atom.
Element x y z (fractional)
Bi  0.0000  0.0000  0.0000  2 Ir 2.52, 4 Au 2.61
Ir  0.0000  0.0000  0.5000  2 Bi 2.52
Ru  0.5000  0.5000  0.5000  8 Au 3.63, 4 Ir 3.68
Au  0.0000  0.5000  0.0000  2 Bi 2.61
Au  0.5000  0.0000  0.0000  2 Bi 2.61

Output
The value obtained for the formation enthalpy at 0 K is 9.3 eV/f.u.

Record 2
Here is crystalline RbSc3Ga at its relaxed geometry from the Alexandria database. Energies are from PBE-GGA.

Cell lengths 5.0544, 5.0544, 5.0544 Å; angles 90.00, 90.00, 90.00 degrees
With the nearest neighbours (Å) after each atom.
Element x y z (fractional)
Rb  0.0000  0.0000  0.0000  6 Sc 2.53
Sc  0.0000  0.0000  0.5000  2 Rb 2.53
Sc  0.0000  0.5000  0.0000  2 Rb 2.53
Sc  0.5000  0.0000  0.0000  2 Rb 2.53
Ga  0.5000  0.5000  0.5000  12 Sc 3.57

Output
The value obtained for the formation enthalpy at 0 K is 7.3 eV/f.u.

Record 3
Here is crystalline Ni3Sn5As at its relaxed geometry from the Alexandria database. Energies are from PBE-GGA.

Cell lengths 7.0339, 7.0339, 9.0646 Å; angles 109.65, 109.65, 75.88 degrees
With the nearest neighbours (Å) after each atom.
Element x y z (fractional)
Ni  0.0000  0.0000  0.0000  2 As 2.46, 4 Sn 2.52-2.54
Ni  0.0000  0.0000  0.5000  2 As 2.39, 4 Sn 2.59
Ni  0.3099  0.3099  0.3362  1 As 2.37, 5 Sn 2.52-2.60
Ni  0.3360  0.3360  0.8312  6 Sn 2.47-2.56
Ni  0.6640  0.6640  0.1688  6 Sn 2.47-2.56
Ni  0.6901  0.6901  0.6638  1 As 2.37, 5 Sn 2.52-2.60
Sn  0.0340  0.6162  0.3432  3 Ni 2.52-2.59
Sn  0.2385  0.2385  0.0303  3 Ni 2.47-2.54
Sn  0.2909  0.7091  0.0000  3 Ni 2.52-2.56
Sn  0.3838  0.9660  0.6568  3 Ni 2.52-2.59
Sn  0.4504  0.4504  0.6471  3 Ni 2.49-2.60
Sn  0.5496  0.5496  0.3529  3 Ni 2.49-2.60
Sn  0.6162  0.0340  0.3432  3 Ni 2.52-2.59
Sn  0.7091  0.2909  0.0000  3 Ni 2.52-2.56
Sn  0.7615  0.7615  0.9697  3 Ni 2.47-2.54
Sn  0.9660  0.3838  0.6568  3 Ni 2.52-2.59
As  0.0851  0.0851  0.2985  3 Ni 2.37-2.46
As  0.9149  0.9149  0.7015  3 Ni 2.37-2.46

Output
The value obtained for the formation enthalpy at 0 K is -0.8 eV/f.u.

Record 4
Here is crystalline Cr2SbI at its relaxed geometry from the Alexandria database. Energies are from PBE-GGA.

Cell lengths 7.1104, 7.1104, 7.1104 Å; angles 90.00, 90.00, 90.00 degrees
With the nearest neighbours (Å) after each atom.
Element x y z (fractional)
Cr  0.2500  0.2500  0.2500  4 Sb 3.08, 4 I 3.08
Cr  0.2500  0.2500  0.7500  4 Sb 3.08, 4 I 3.08
Cr  0.2500  0.7500  0.2500  4 Sb 3.08, 4 I 3.08
Cr  0.2500  0.7500  0.7500  4 Sb 3.08, 4 I 3.08
Cr  0.7500  0.2500  0.2500  4 Sb 3.08, 4 I 3.08
Cr  0.7500  0.2500  0.7500  4 Sb 3.08, 4 I 3.08
Cr  0.7500  0.7500  0.2500  4 Sb 3.08, 4 I 3.08
Cr  0.7500  0.7500  0.7500  4 Sb 3.08, 4 I 3.08
Sb  0.0000  0.0000  0.0000  8 Cr 3.08
Sb  0.0000  0.5000  0.5000  8 Cr 3.08
Sb  0.5000  0.0000  0.5000  8 Cr 3.08
Sb  0.5000  0.5000  0.0000  8 Cr 3.08
I  0.0000  0.0000  0.5000  8 Cr 3.08
I  0.0000  0.5000  0.0000  8 Cr 3.08
I  0.5000  0.0000  0.0000  8 Cr 3.08
I  0.5000  0.5000  0.5000  8 Cr 3.08

Output
Its uncorrected formation energy is 575 meV/atom.

Record 5
Here is crystalline Tb3Tm3Sc2 at its relaxed geometry from the Alexandria database. Energies are from PBE-GGA.

Cell lengths 4.8958, 4.9143, 9.7247 Å; angles 90.00, 90.00, 90.00 degrees
With the nearest neighbours (Å) after each atom.
Element x y z (fractional)
Tb  0.0000  0.0000  0.0000  4 Sc 3.46, 4 Tm 3.46, 4 Tb 3.47
Tb  0.0000  0.0000  0.5000  4 Sc 3.44, 8 Tm 3.45-3.47
Tb  0.5000  0.5000  0.0000  4 Tm 3.46, 4 Sc 3.46, 4 Tb 3.47
Tm  0.0000  0.5000  0.2508  2 Tm 3.44, 6 Tb 3.45-3.46, 4 Sc 3.47
Tm  0.0000  0.5000  0.7492  2 Tm 3.44, 6 Tb 3.45-3.46, 4 Sc 3.47
Tm  0.5000  0.5000  0.5000  4 Tm 3.44, 4 Sc 3.45, 4 Tb 3.47
Sc  0.5000  0.0000  0.2511  6 Tb 3.44-3.46, 6 Tm 3.45-3.47
Sc  0.5000  0.0000  0.7489  6 Tb 3.44-3.46, 6 Tm 3.45-3.47

Output
The value obtained for the formation enthalpy at 0 K is 0.3 eV/f.u.

Record 6
Here is crystalline Nd2CuGe4Au3 at its relaxed geometry from the Alexandria database. Energies are from PBE-GGA.

Cell lengths 4.3405, 4.3405, 10.8793 Å; angles 90.00, 90.00, 90.00 degrees
With the nearest neighbours (Å) after each atom.
Element x y z (fractional)
Nd  0.0000  0.5000  0.2334  8 Ge 3.28-3.62, 2 Cu 3.34, 6 Au 3.34-3.36
Nd  0.5000  0.0000  0.7666  8 Ge 3.28-3.62, 2 Cu 3.34, 6 Au 3.34-3.36
Cu  0.5000  0.5000  0.0000  4 Ge 2.57
Ge  0.0000  0.0000  0.5000  4 Au 2.66
Ge  0.0000  0.5000  0.8728  3 Au 2.52-2.57, 2 Cu 2.57
Ge  0.5000  0.0000  0.1272  3 Au 2.52-2.57, 2 Cu 2.57
Ge  0.5000  0.5000  0.5000  4 Au 2.66
Au  0.0000  0.0000  0.0000  4 Ge 2.57
Au  0.0000  0.5000  0.6415  5 Ge 2.52-2.66
Au  0.5000  0.0000  0.3585  5 Ge 2.52-2.66

Output
The value obtained for the formation enthalpy at 0 K is -5.3 eV/f.u.